## TlGePbAu2 (PBE)

Data for a relaxed structure of TlGePbAu2. Values from VASP.

Quantum ESPRESSO input file:
```
&SYSTEM
  ibrav = 0, nat = 10, ntyp = 4
/
ATOMIC_SPECIES
Tl 204.38 Tl.upf
Ge 72.64 Ge.upf
Pb 207.20 Pb.upf
Au 196.97 Au.upf
ATOMIC_POSITIONS crystal
Tl 0.248 0.248 0.184
Tl 0.752 0.752 0.816
Ge 0.436 0.436 0.076
Ge 0.564 0.564 0.924
Pb 0.129 0.129 0.489
Pb 0.871 0.871 0.511
Au 0.087 0.087 0.805
Au 0.366 0.366 0.723
Au 0.634 0.634 0.277
Au 0.913 0.913 0.195
CELL_PARAMETERS angstrom
7.225 -2.294 0.000
7.225 2.294 0.000
-3.915 0.000 7.794
```

Its density of states at the Fermi level is 0.316 states/eV per atom. As for the total energy: -34.50 eV for the cell shown. The value obtained for the formation energy from the elements is -0.001 eV/atom. As for the crystal system: monoclinic. The symmetry is C2/m, No. 12. The calculation puts the magnetization at 0.0 μB per cell. Its calculated volume is 258.3 Å³/cell.

## TaMoRu2 (PBE)

Data for a relaxed structure of TaMoRu2. Values from VASP.

Quantum ESPRESSO input file:
```
&SYSTEM
  ibrav = 0, nat = 4, ntyp = 3
/
ATOMIC_SPECIES
Ta 180.95 Ta.upf
Mo 95.94 Mo.upf
Ru 101.07 Ru.upf
ATOMIC_POSITIONS crystal
Ta 0.000 0.000 0.000
Mo 0.000 0.000 0.500
Ru 0.500 0.500 0.254
Ru 0.500 0.500 0.746
CELL_PARAMETERS angstrom
2.940 0.000 0.000
0.000 3.616 0.000
0.000 0.000 5.829
```

Its density of states at the Fermi level is 1.310 states/eV per atom. As for the total energy: -41.51 eV for the cell shown. For the polymorph energy (0 for the lowest one), the calculation gives 7.0 meV/atom. The value obtained for the formation energy from the elements is -0.069 eV/atom. As for the crystal system: orthorhombic. The symmetry is Pmmm, No. 47. The calculation puts the magnetization at 0.0 μB per cell. Its calculated volume is 62.0 Å³/cell.

## CaYBeBr2 (PBE)

Data for a relaxed structure of CaYBeBr2. Values from VASP.

Quantum ESPRESSO input file:
```
&SYSTEM
  ibrav = 0, nat = 5, ntyp = 4
/
ATOMIC_SPECIES
Ca 40.08 Ca.upf
Y 88.91 Y.upf
Be 9.01 Be.upf
Br 79.90 Br.upf
ATOMIC_POSITIONS crystal
Ca 0.000 0.000 0.000
Y 0.000 0.000 0.500
Be 0.500 0.500 0.500
Br 0.000 0.500 0.000
Br 0.500 0.000 0.000
CELL_PARAMETERS angstrom
5.305 0.000 0.000
0.000 5.305 0.000
0.000 0.000 7.657
```

Its density of states at the Fermi level is 1.026 states/eV per atom. As for the total energy: -14.95 eV for the cell shown. For the formation energy (no corrections), the calculation gives 0.12 eV per atom. As for the crystal system: tetragonal. The symmetry is P4/mmm, No. 123. The calculation puts the magnetization at 1.3 μB per cell. Its calculated volume is 215.5 Å³/cell.